No. 1
Here is a PBEsol-optimized structure of InH6C3O9 from Alexandria. Energies are from SCAN.

Output
Space group ... P2_1/c, No. 14
DOS(E_F) ... 0.00 states/eV per atom
Total moment ... 0.0 μB per formula unit
Calculated volume ... 9.9 A^3/atom
Total energy ... -8.60 eV per atom

a = 6.8214 Å, b = 10.1018 Å, c = 10.9816 Å
α = 97.42°, β = 90.00°, γ = 90.00°
Positions (direct):
In 0.3497 0.7649 0.4715
In 0.1503 0.7649 0.9715
In 0.8497 0.2351 0.0285
In 0.6503 0.2351 0.5285
H 0.0892 0.6144 0.5761
H 0.1409 0.5084 0.7203
H 0.4286 0.4149 0.0950
H 0.3591 0.5084 0.2203
H 0.5117 0.7678 0.0763
H 0.3103 0.0983 0.5482
H 0.6409 0.4916 0.7797
H 0.8103 0.9017 0.9518
H 0.4883 0.2322 0.9237
H 0.9286 0.5851 0.4050
H 0.6071 0.8576 0.3144
H 0.1071 0.1424 0.1856
H 0.0714 0.4149 0.5950
H 0.9883 0.7678 0.5763
H 0.5714 0.5851 0.9050
H 0.5892 0.3856 0.9239
H 0.8929 0.8576 0.8144
H 0.4108 0.6144 0.0761
H 0.9108 0.3856 0.4239
H 0.8591 0.4916 0.2797
H 0.6897 0.9017 0.4518
H 0.0117 0.2322 0.4237
H 0.1897 0.0983 0.0482
H 0.3929 0.1424 0.6856
C 0.6598 0.0025 0.1467
C 0.1598 0.9975 0.3533
C 0.5459 0.5290 0.5613
C 0.3402 0.9975 0.8533
C 0.4541 0.4710 0.4387
C 0.1714 0.8772 0.2514
C 0.8402 0.0025 0.6467
C 0.9541 0.5290 0.0613
C 0.0459 0.4710 0.9387
C 0.8286 0.1228 0.7486
C 0.3286 0.8772 0.7514
C 0.6714 0.1228 0.2486
O 0.2172 0.9746 0.4587
O 0.5988 0.8924 0.1730
O 0.2590 0.7698 0.7803
O 0.1228 0.1739 0.1022
O 0.6228 0.8261 0.3978
O 0.1129 0.8984 0.1468
O 0.1284 0.5530 0.8763
O 0.6129 0.1016 0.3532
O 0.0354 0.3474 0.9078
O 0.4012 0.1076 0.8270
O 0.7828 0.0254 0.5413
O 0.1431 0.4971 0.6285
O 0.6284 0.4470 0.6237
O 0.8716 0.4470 0.1237
O 0.3716 0.5530 0.3763
O 0.3871 0.8984 0.6468
O 0.2410 0.7698 0.2803
O 0.8772 0.8261 0.8978
O 0.5643 0.3047 0.9760
O 0.6431 0.5029 0.8715
O 0.9357 0.3047 0.4760
O 0.0988 0.1076 0.3270
O 0.4357 0.6953 0.0240
O 0.3569 0.4971 0.1285
O 0.2828 0.9746 0.9587
O 0.7172 0.0254 0.0413
O 0.9012 0.8924 0.6730
O 0.3772 0.1739 0.6022
O 0.7410 0.2302 0.2197
O 0.8871 0.1016 0.8532
O 0.7590 0.2302 0.7197
O 0.0643 0.6953 0.5240
O 0.5354 0.6526 0.5922
O 0.9646 0.6526 0.0922
O 0.4646 0.3474 0.4078
O 0.8569 0.5029 0.3715



No. 2
Here is a PBEsol-optimized structure of InSi2PH24C8 from Alexandria. Energies are from SCAN.

Output
Space group ... P-1, No. 2
DOS(E_F) ... 0.00 states/eV per atom
Total moment ... 0.0 μB per formula unit
Calculated volume ... 10.7 A^3/atom
Total energy ... -6.52 eV per atom

a = 9.2970 Å, b = 9.7934 Å, c = 9.7086 Å
α = 77.23°, β = 80.96°, γ = 63.53°
Positions (direct):
In 0.4663 0.3529 0.4242
In 0.5337 0.6471 0.5758
Si 0.7593 0.1918 0.7439
Si 0.2407 0.8082 0.2561
Si 0.3257 0.3633 0.8355
Si 0.6743 0.6367 0.1645
P 0.4793 0.6200 0.3281
P 0.5207 0.3800 0.6719
H 0.9209 0.3021 0.5663
H 0.8584 0.5599 0.4924
H 0.2265 0.8201 0.6861
H 0.2213 0.2656 0.4353
H 0.7322 0.2326 0.9955
H 0.0791 0.6979 0.4337
H 0.7735 0.1799 0.3139
H 0.3872 0.0910 0.8210
H 0.6128 0.9090 0.1790
H 0.2678 0.7674 0.0045
H 0.7787 0.7344 0.5647
H 0.6654 0.9940 0.8807
H 0.4240 0.4110 0.0386
H 0.2356 0.2250 0.7051
H 0.8376 0.3550 0.1620
H 0.1126 0.8371 0.5001
H 0.5062 0.7913 0.9591
H 0.8145 0.8086 0.1090
H 0.9377 0.1424 0.9306
H 0.8224 0.3454 0.8785
H 0.6925 0.0539 0.4228
H 0.7103 0.9753 0.6983
H 0.3709 0.8594 0.7523
H 0.8282 0.5522 0.6799
H 0.7092 0.6799 0.9021
H 0.2908 0.3201 0.0979
H 0.1304 0.0941 0.1871
H 0.0623 0.8576 0.0694
H 0.9603 0.4582 0.1211
H 0.0397 0.5418 0.8789
H 0.2897 0.0247 0.3017
H 0.1855 0.1914 0.8910
H 0.0335 0.1002 0.6269
H 0.1624 0.6450 0.8380
H 0.3075 0.9461 0.5772
H 0.1416 0.4401 0.5076
H 0.9665 0.8998 0.3731
H 0.1776 0.6546 0.1215
H 0.8937 0.4121 0.3003
H 0.6291 0.1406 0.2477
H 0.1718 0.4478 0.3201
H 0.8696 0.9059 0.8129
H 0.1063 0.5879 0.6997
H 0.7644 0.7750 0.2949
H 0.3346 0.0060 0.1193
H 0.5760 0.5890 0.9614
H 0.8874 0.1629 0.4999
H 0.4938 0.2087 0.0409
C 0.8581 0.4477 0.1903
C 0.3354 0.8405 0.6577
C 0.6646 0.1595 0.3423
C 0.8168 0.2324 0.9023
C 0.2213 0.3803 0.4223
C 0.1832 0.7676 0.0977
C 0.0860 0.8103 0.4053
C 0.9140 0.1897 0.5947
C 0.7204 0.7972 0.1894
C 0.7787 0.6197 0.5777
C 0.2796 0.2028 0.8106
C 0.6099 0.6775 0.9802
C 0.7494 0.9995 0.7881
C 0.1419 0.5523 0.8097
C 0.3901 0.3225 0.0198
C 0.2506 0.0005 0.2119



No. 3
Here is a PBEsol-optimized structure of KMgH9C2O10 from Alexandria. Energies are from SCAN.

Output
Space group ... P-1, No. 2
DOS(E_F) ... 0.00 states/eV per atom
Total moment ... 0.0 μB per formula unit
Calculated volume ... 9.1 A^3/atom
Total energy ... -6.98 eV per atom

a = 5.2479 Å, b = 6.6220 Å, c = 7.0397 Å
α = 115.79°, β = 90.80°, γ = 106.65°
Positions (direct):
C 0.3693 0.7003 0.2062
C 0.6307 0.2997 0.7938
H 0.4254 0.9180 0.7621
H 0.5746 0.0820 0.2379
H 0.3618 0.7417 0.8757
H 0.6382 0.2583 0.1243
H 0.9946 0.3313 0.5780
H 0.0054 0.6687 0.4220
H 0.2044 0.2015 0.5999
H 0.7956 0.7985 0.4001
H 0.0000 0.5000 0.0000
K 0.0000 0.0000 0.0000
Mg 0.5000 0.5000 0.5000
O 0.4659 0.7821 0.7712
O 0.5341 0.2179 0.2288
O 0.1415 0.2713 0.5127
O 0.8585 0.7287 0.4873
O 0.2851 0.5805 0.3079
O 0.7149 0.4195 0.6921
O 0.6070 0.8479 0.2482
O 0.3930 0.1521 0.7518
O 0.1990 0.6714 0.0485
O 0.8010 0.3286 0.9515



No. 4
Here is a PBEsol-optimized structure of K2MgH8C2O10 from Alexandria. Energies are from SCAN.

Output
Space group ... P2_1/c, No. 14
DOS(E_F) ... 0.00 states/eV per atom
Total moment ... 0.0 μB per formula unit
Calculated volume ... 10.2 A^3/atom
Total energy ... -7.29 eV per atom

a = 6.2255 Å, b = 6.8875 Å, c = 11.1159 Å
α = 80.66°, β = 90.00°, γ = 90.00°
Positions (direct):
K 0.1515 0.5893 0.1823
K 0.6515 0.9107 0.3177
K 0.3485 0.0893 0.6823
K 0.8485 0.4107 0.8177
Mg 0.5000 0.0000 0.0000
Mg 0.0000 0.5000 0.5000
H 0.8303 0.2194 0.0832
H 0.8017 0.7722 0.0131
H 0.6091 0.3169 0.1132
H 0.6595 0.6640 0.1323
H 0.1091 0.1831 0.3868
H 0.1595 0.8360 0.3677
H 0.3303 0.2806 0.4168
H 0.3017 0.7278 0.4869
H 0.6983 0.2722 0.5131
H 0.6697 0.7194 0.5832
H 0.8405 0.1640 0.6323
H 0.8909 0.8169 0.6132
H 0.3405 0.3360 0.8677
H 0.3909 0.6831 0.8868
H 0.1983 0.2278 0.9869
H 0.1697 0.7806 0.9168
C 0.1524 0.0759 0.1844
C 0.6524 0.4241 0.3156
C 0.3476 0.5759 0.6844
C 0.8476 0.9241 0.8156
O 0.6734 0.2295 0.0584
O 0.0822 0.2284 0.1098
O 0.7190 0.7955 0.0895
O 0.3084 0.9715 0.1537
O 0.5621 0.4706 0.2096
O 0.0621 0.0294 0.2904
O 0.8084 0.5285 0.3463
O 0.5822 0.2716 0.3902
O 0.1734 0.2705 0.4416
O 0.2190 0.7045 0.4105
O 0.7810 0.2955 0.5895
O 0.8266 0.7295 0.5584
O 0.4178 0.7284 0.6098
O 0.1916 0.4715 0.6537
O 0.9379 0.9706 0.7096
O 0.4379 0.5294 0.7904
O 0.6916 0.0285 0.8463
O 0.2810 0.2045 0.9105
O 0.9178 0.7716 0.8902
O 0.3266 0.7705 0.9416



No. 5
Here is a PBEsol-optimized structure of KHCN2 from Alexandria. Energies are from SCAN.

Output
Space group ... P2_12_12_1, No. 19
DOS(E_F) ... 0.00 states/eV per atom
Total moment ... 0.0 μB per formula unit
Calculated volume ... 13.9 A^3/atom
Total energy ... -8.50 eV per atom

a = 7.0317 Å, b = 8.9005 Å, c = 8.8942 Å
α = 90.00°, β = 90.00°, γ = 90.00°
Positions (direct):
C 0.7620 0.9444 0.5148
C 0.2380 0.4444 0.9852
C 0.7380 0.0556 0.0148
C 0.2620 0.5556 0.4852
C 0.5117 0.2504 0.6932
C 0.4883 0.7504 0.8068
C 0.9883 0.7496 0.1932
C 0.0117 0.2496 0.3068
H 0.6612 0.9699 0.3089
H 0.3388 0.4699 0.1911
H 0.8388 0.0301 0.8089
H 0.1612 0.5301 0.6911
H 0.4149 0.0463 0.7377
H 0.5851 0.5463 0.7623
H 0.0851 0.9537 0.2377
H 0.9149 0.4537 0.2623
K 0.9948 0.7554 0.8579
K 0.0052 0.2554 0.6421
K 0.5052 0.2446 0.3579
K 0.4948 0.7446 0.1421
K 0.7486 0.6059 0.4921
K 0.2514 0.1059 0.0079
K 0.7514 0.3941 0.9921
K 0.2486 0.8941 0.5079
N 0.6315 0.9294 0.4169
N 0.3685 0.4294 0.0831
N 0.8685 0.0706 0.9169
N 0.1315 0.5706 0.5831
N 0.8765 0.9495 0.6154
N 0.1235 0.4495 0.8846
N 0.6235 0.0505 0.1154
N 0.3765 0.5505 0.3846
N 0.3797 0.1530 0.6972
N 0.6203 0.6530 0.8028
N 0.1203 0.8470 0.1972
N 0.8797 0.3470 0.3028
N 0.6254 0.3509 0.6807
N 0.3746 0.8509 0.8193
N 0.8746 0.6491 0.1807
N 0.1254 0.1491 0.3193



No. 6
Here is a PBEsol-optimized structure of KH5C3N2O5 from Alexandria. Energies are from SCAN.

Output
Space group ... Pnnm, No. 58
DOS(E_F) ... 0.00 states/eV per atom
Total moment ... 0.0 μB per formula unit
Calculated volume ... 10.5 A^3/atom
Total energy ... -7.59 eV per atom

a = 6.9954 Å, b = 7.6442 Å, c = 12.5303 Å
α = 90.00°, β = 90.00°, γ = 90.00°
Positions (direct):
C 0.0000 0.8333 0.7486
C 0.0000 0.1667 0.2514
C 0.5000 0.6667 0.2486
C 0.5000 0.3333 0.7514
C 0.0000 0.6306 0.7496
C 0.0000 0.3694 0.2504
C 0.5000 0.8694 0.2496
C 0.5000 0.1306 0.7504
C 0.0000 0.3657 0.6390
C 0.0000 0.6343 0.3610
C 0.5000 0.1343 0.1390
C 0.5000 0.8657 0.8610
H 0.0000 0.6194 0.5821
H 0.0000 0.3806 0.4179
H 0.5000 0.8806 0.0821
H 0.5000 0.1194 0.9179
H 0.0000 0.1307 0.7123
H 0.0000 0.8693 0.2877
H 0.5000 0.3693 0.2123
H 0.5000 0.6307 0.7877
H 0.0000 0.3211 0.7999
H 0.0000 0.6789 0.2001
H 0.5000 0.1789 0.2999
H 0.5000 0.8211 0.7001
H 0.5000 0.6828 0.4627
H 0.5000 0.3172 0.5373
H 0.0000 0.8172 0.9627
H 0.0000 0.1828 0.0373
H 0.5000 0.6121 0.5820
H 0.5000 0.3879 0.4180
H 0.0000 0.8879 0.0820
H 0.0000 0.1121 0.9180
K 0.7537 0.0000 0.5000
K 0.7463 0.5000 0.0000
K 0.2463 0.0000 0.5000
K 0.2537 0.5000 0.0000
N 0.0000 0.5482 0.6539
N 0.0000 0.4518 0.3461
N 0.5000 0.9518 0.1539
N 0.5000 0.0482 0.8461
N 0.0000 0.2648 0.7253
N 0.0000 0.7352 0.2747
N 0.5000 0.2352 0.2253
N 0.5000 0.7648 0.7747
O 0.0000 0.9094 0.6593
O 0.0000 0.0906 0.3407
O 0.5000 0.5906 0.1593
O 0.5000 0.4094 0.8407
O 0.0000 0.9049 0.8391
O 0.0000 0.0951 0.1609
O 0.5000 0.5951 0.3391
O 0.5000 0.4049 0.6609
O 0.0000 0.5544 0.8372
O 0.0000 0.4456 0.1628
O 0.5000 0.9456 0.3372
O 0.5000 0.0544 0.6628
O 0.0000 0.3044 0.5461
O 0.0000 0.6956 0.4539
O 0.5000 0.1956 0.0461
O 0.5000 0.8044 0.9539
O 0.5000 0.7206 0.5393
O 0.5000 0.2794 0.4607
O 0.0000 0.7794 0.0393
O 0.0000 0.2206 0.9607



Copy entry 6 word for word.
Here is a PBEsol-optimized structure of KH5C3N2O5 from Alexandria. Energies are from SCAN.

Output
Space group ... Pnnm, No. 58
DOS(E_F) ... 0.00 states/eV per atom
Total moment ... 0.0 μB per formula unit
Calculated volume ... 10.5 A^3/atom
Total energy ... -7.59 eV per atom

a = 6.9954 Å, b = 7.6442 Å, c = 12.5303 Å
α = 90.00°, β = 90.00°, γ = 90.00°
Positions (direct):
C 0.0000 0.8333 0.7486
C 0.0000 0.1667 0.2514
C 0.5000 0.6667 0.2486
C 0.5000 0.3333 0.7514
C 0.0000 0.6306 0.7496
C 0.0000 0.3694 0.2504
C 0.5000 0.8694 0.2496
C 0.5000 0.1306 0.7504
C 0.0000 0.3657 0.6390
C 0.0000 0.6343 0.3610
C 0.5000 0.1343 0.1390
C 0.5000 0.8657 0.8610
H 0.0000 0.6194 0.5821
H 0.0000 0.3806 0.4179
H 0.5000 0.8806 0.0821
H 0.5000 0.1194 0.9179
H 0.0000 0.1307 0.7123
H 0.0000 0.8693 0.2877
H 0.5000 0.3693 0.2123
H 0.5000 0.6307 0.7877
H 0.0000 0.3211 0.7999
H 0.0000 0.6789 0.2001
H 0.5000 0.1789 0.2999
H 0.5000 0.8211 0.7001
H 0.5000 0.6828 0.4627
H 0.5000 0.3172 0.5373
H 0.0000 0.8172 0.9627
H 0.0000 0.1828 0.0373
H 0.5000 0.6121 0.5820
H 0.5000 0.3879 0.4180
H 0.0000 0.8879 0.0820
H 0.0000 0.1121 0.9180
K 0.7537 0.0000 0.5000
K 0.7463 0.5000 0.0000
K 0.2463 0.0000 0.5000
K 0.2537 0.5000 0.0000
N 0.0000 0.5482 0.6539
N 0.0000 0.4518 0.3461
N 0.5000 0.9518 0.1539
N 0.5000 0.0482 0.8461
N 0.0000 0.2648 0.7253
N 0.0000 0.7352 0.2747
N 0.5000 0.2352 0.2253
N 0.5000 0.7648 0.7747
O 0.0000 0.9094 0.6593
O 0.0000 0.0906 0.3407
O 0.5000 0.5906 0.1593
O 0.5000 0.4094 0.8407
O 0.0000 0.9049 0.8391
O 0.0000 0.0951 0.1609
O 0.5000 0.5951 0.3391
O 0.5000 0.4049 0.6609
O 0.0000 0.5544 0.8372
O 0.0000 0.4456 0.1628
O 0.5000 0.9456 0.3372
O 0.5000 0.0544 0.6628
O 0.0000 0.3044 0.5461
O 0.0000 0.6956 0.4539
O 0.5000 0.1956 0.0461
O 0.5000 0.8044 0.9539
O 0.5000 0.7206 0.5393
O 0.5000 0.2794 0.4607
O 0.0000 0.7794 0.0393
O 0.0000 0.2206 0.9607



Question: Which of these has the highest total energy?
Answer: InSi2PH24C8



Question: Which formula does entry 4 have?
Answer: K2MgH8C2O10